# Pa3Te5Se (PBE, optimized geometry)
# **Energy relative to the elements, uncorrected**: -779 meV/atom
data_Pa3Te5Se
_symmetry_space_group_name_H-M 'C 1 2/m 1'
_symmetry_Int_Tables_number 12
_cell_length_a 12.8550
_cell_length_b 10.1781
_cell_length_c 10.5490
_cell_angle_alpha 90.00
_cell_angle_beta 108.15
_cell_angle_gamma 90.00
loop_
_symmetry_equiv_pos_as_xyz
'x,y,z'
'-x,-y,-z'
'-x,y,-z'
'x,-y,z'
'x+1/2,y+1/2,z'
'-x+1/2,-y+1/2,-z'
'-x+1/2,y+1/2,-z'
'x+1/2,-y+1/2,z'
loop_
_atom_site_label
_atom_site_fract_x
_atom_site_fract_y
_atom_site_fract_z
Pa1 0.0000 0.0000 0.0000
Pa2 0.0000 0.0000 0.5000
Pa3 0.1619 0.5000 0.1658
Pa4 0.2095 0.5000 0.5848
Te1 0.0000 0.2991 0.0000
Te2 0.0110 0.5000 0.3340
Te3 0.1924 0.1889 0.6245
Te4 0.2458 0.0000 0.0710
Se1 0.0612 0.0000 0.2747